{
  "formula": "Ac2La2Tb7",
  "functional": "PBE",
  "state": "optimized geometry",
  "total_energy_ev_per_atom": -4.4505,
  "spacegroup": "No. 12",
  "ef_ev_per_atom": 0.14,
  "mass_density_g_cm3": 7.8,
  "lattice": [[-0.202, -1.260, -3.513], [5.243, -7.959, 5.277], [-6.716, -6.601, 5.477]],
  "species": ["Ac", "Ac", "La", "La", "Tb", "Tb", "Tb", "Tb", "Tb", "Tb", "Tb"],
  "frac_coords": [[0.278, 0.803, 0.803], [0.722, 0.197, 0.197], [0.500, 0.246, 0.754], [0.500, 0.754, 0.246], [0.148, 0.434, 0.902], [0.852, 0.098, 0.566], [0.852, 0.566, 0.098], [0.148, 0.902, 0.434], [0.544, 0.405, 0.405], [0.000, 0.000, 0.000], [0.456, 0.595, 0.595]]
}